A plane-wave DFT calculation with PBE+U was carried out for a relaxed structure of EuZrFeBiO6.

Results
energy = -7.7062 eV per atom

abc: 5.643 5.643 5.643
angles: 60.00 60.00 60.00
Positions (direct):
1 O 0.240 0.760 0.240
2 O 0.240 0.240 0.760
3 O 0.760 0.240 0.240
4 O 0.760 0.240 0.760
5 O 0.760 0.760 0.240
6 O 0.240 0.760 0.760
7 Fe 0.000 0.000 0.000
8 Zr 0.500 0.500 0.500
9 Bi 0.750 0.750 0.750
10 Eu 0.250 0.250 0.250